This record from the Alexandria database describes a relaxed structure of Zr2TaNi. The functional is PBE-GGA.

a = 5.4970 Å, b = 5.4970 Å, c = 4.9603 Å
α = 63.16°, β = 63.16°, γ = 34.15°
Closest atoms and distances in Å follow each position.
Positions (direct):
Zr 0.9811 0.9811 0.0189  2 Ni 2.68, 2 Ta 2.97, 4 Zr 2.98
Ni 0.2500 0.2500 0.2500  4 Zr 2.68, 4 Ta 2.96
Zr 0.5189 0.5189 0.4811  2 Ni 2.68, 2 Ta 2.97, 4 Zr 2.98
Ta 0.7500 0.7500 0.7500  4 Ni 2.96, 8 Zr 2.97-3.28, 2 Ta 3.23

Values from the calculation:
DOS at the Fermi energy	4.196	states/eV/cell
E_tot	-8.628	eV/atom
crystal system	orthorhombic
space group	Immm (71)
energy relative to the elements	54	meV per atom


This record from the Alexandria database describes a relaxed structure of Zr4TaNi. The functional is PBE-GGA.

a = 5.6329 Å, b = 5.6329 Å, c = 5.6329 Å
α = 60.00°, β = 60.00°, γ = 60.00°
Closest atoms and distances in Å follow each position.
Positions (direct):
Zr 0.3740 0.8780 0.3740  6 Zr 2.79-2.84
Zr 0.3740 0.3740 0.8780  6 Zr 2.79-2.84
Ta 0.0000 0.0000 0.0000  12 Zr 3.30, 4 Ni 3.45
Zr 0.8780 0.3740 0.3740  6 Zr 2.79-2.84
Ni 0.7500 0.7500 0.7500  12 Zr 3.30, 4 Ta 3.45
Zr 0.3740 0.3740 0.3740  6 Zr 2.79-2.84

Values from the calculation:
DOS at the Fermi energy	9.751	states/eV/cell
E_tot	-7.998	eV/atom
crystal system	cubic
space group	F-43m (216)
energy relative to the elements	640	meV per atom


This record from the Alexandria database describes a relaxed structure of Zr2TaNi2. The functional is PBE-GGA.

a = 7.5311 Å, b = 7.5311 Å, c = 3.0504 Å
α = 90.00°, β = 90.00°, γ = 90.00°
Closest atoms and distances in Å follow each position.
Positions (direct):
Ta 0.0000 0.0000 0.0000  4 Zr 2.83, 2 Ta 3.05
Ta 0.5000 0.5000 0.0000  4 Zr 2.83, 2 Ta 3.05
Ni 0.6341 0.8659 0.5000  6 Zr 2.67-2.70, 1 Ni 2.86
Zr 0.6607 0.1607 0.0000  6 Ni 2.67-2.70, 2 Ta 2.83
Ni 0.1341 0.6341 0.5000  6 Zr 2.67-2.70, 1 Ni 2.86
Zr 0.1607 0.3393 0.0000  6 Ni 2.67-2.70, 2 Ta 2.83
Zr 0.8393 0.6607 0.0000  6 Ni 2.67-2.70, 2 Ta 2.83
Ni 0.3659 0.1341 0.5000  6 Zr 2.67-2.70, 1 Ni 2.86
Zr 0.3393 0.8393 0.0000  6 Ni 2.67-2.70, 2 Ta 2.83
Ni 0.8659 0.3659 0.5000  6 Zr 2.67-2.70, 1 Ni 2.86

Values from the calculation:
DOS at the Fermi energy	6.893	states/eV/cell
E_tot	-8.078	eV/atom
crystal system	tetragonal
space group	P4/mbm (127)
energy relative to the elements	24	meV per atom


This record from the Alexandria database describes a relaxed structure of Zr2TaNi. The functional is PBE-GGA.

a = 4.7040 Å, b = 4.7040 Å, c = 4.7040 Å
α = 60.00°, β = 60.00°, γ = 60.00°
Closest atoms and distances in Å follow each position.
Positions (direct):
Zr 0.2500 0.2500 0.2500  4 Ta 2.88, 4 Ni 2.88
Ni 0.0000 0.0000 0.0000  8 Zr 2.88
Ta 0.5000 0.5000 0.5000  8 Zr 2.88
Zr 0.7500 0.7500 0.7500  4 Ta 2.88, 4 Ni 2.88

Values from the calculation:
DOS at the Fermi energy	5.152	states/eV/cell
E_tot	-8.661	eV/atom
crystal system	cubic
space group	Fm-3m (225)
energy relative to the elements	22	meV per atom


This record from the Alexandria database describes a relaxed structure of Zr2TaNi. The functional is PBE-GGA.

a = 5.6239 Å, b = 5.6239 Å, c = 5.1503 Å
α = 62.04°, β = 62.04°, γ = 32.08°
Closest atoms and distances in Å follow each position.
Positions (direct):
Zr 0.7877 0.7877 0.7608  2 Ni 2.71, 1 Zr 3.00
Zr 0.9922 0.9922 0.9969  2 Ni 2.65
Ni 0.5101 0.5101 0.3949  2 Ta 2.57, 4 Zr 2.65-2.71
Ta 0.2099 0.2099 0.3473  2 Ni 2.57

Values from the calculation:
DOS at the Fermi energy	3.696	states/eV/cell
E_tot	-8.766	eV/atom
crystal system	monoclinic
space group	Cm (8)
energy relative to the elements	-83	meV per atom


This record from the Alexandria database describes a relaxed structure of ZrTaNi. The functional is PBE-GGA.

a = 4.3218 Å, b = 4.3218 Å, c = 4.3218 Å
α = 60.00°, β = 60.00°, γ = 60.00°
Closest atoms and distances in Å follow each position.
Positions (direct):
Ni 0.7500 0.7500 0.7500  4 Zr 2.65, 4 Ta 2.65
Ta 0.0000 0.0000 0.0000  4 Ni 2.65
Zr 0.5000 0.5000 0.5000  4 Ni 2.65

Values from the calculation:
DOS at the Fermi energy	5.509	states/eV/cell
E_tot	-8.511	eV/atom
crystal system	cubic
space group	F-43m (216)
energy relative to the elements	217	meV per atom


This record from the Alexandria database describes a relaxed structure of Tb3Ni2. The functional is PBE-GGA.

a = 3.6773 Å, b = 4.3564 Å, c = 7.4568 Å
α = 106.98°, β = 90.00°, γ = 90.00°
Closest atoms and distances in Å follow each position.
Positions (direct):
Tb 0.5000 0.5000 0.0000  2 Ni 2.82
Tb 0.0000 0.1523 0.3047  6 Ni 2.82-2.92
Tb 0.0000 0.8477 0.6953  6 Ni 2.82-2.92
Ni 0.5000 0.6975 0.3951  2 Ni 2.64, 7 Tb 2.82-2.92
Ni 0.5000 0.3025 0.6049  2 Ni 2.64, 7 Tb 2.82-2.92

Values from the calculation:
DOS at the Fermi energy	4.778	states/eV/cell
E_tot	-5.418	eV/atom
crystal system	orthorhombic
space group	Cmmm (65)
energy relative to the elements	-327	meV per atom


This record from the Alexandria database describes a relaxed structure of TbNi3. The functional is PBE-GGA.

a = 3.8616 Å, b = 3.8588 Å, c = 3.8582 Å
α = 90.00°, β = 90.00°, γ = 90.00°
Closest atoms and distances in Å follow each position.
Positions (direct):
Tb 0.0000 0.5000 0.4165  12 Ni 2.73
Ni 0.5000 0.0000 0.4171  8 Ni 2.73, 4 Tb 2.73
Ni 0.5000 0.5000 0.9165  8 Ni 2.73, 4 Tb 2.73
Ni 0.0000 0.0000 0.9166  8 Ni 2.73, 4 Tb 2.73

Values from the calculation:
DOS at the Fermi energy	4.786	states/eV/cell
E_tot	-5.726	eV/atom
crystal system	cubic
space group	Pm-3m (221)
energy relative to the elements	-232	meV per atom


This record from the Alexandria database describes a relaxed structure of TbNi. The functional is PBE-GGA.

a = 4.2081 Å, b = 5.4466 Å, c = 21.3327 Å
α = 82.89°, β = 90.00°, γ = 90.00°
Closest atoms and distances in Å follow each position.
Positions (direct):
Ni 0.7500 0.7029 0.3455  2 Ni 2.58, 2 Tb 2.87-2.88
Tb 0.7500 0.1860 0.3933  7 Ni 2.87-2.94
Ni 0.7500 0.5404 0.6795  2 Ni 2.58, 1 Tb 2.87
Ni 0.2500 0.2949 0.1546  2 Ni 2.57, 1 Tb 2.87
Tb 0.2500 0.5009 0.7729  7 Ni 2.87-2.95
Ni 0.2500 0.2971 0.6545  2 Ni 2.58, 2 Tb 2.87-2.88
Tb 0.2500 0.6624 0.4397  7 Ni 2.87-2.95
Tb 0.2500 0.6624 0.9395  7 Ni 2.85-2.95
Ni 0.7500 0.8689 0.5123  2 Ni 2.56, 1 Tb 2.87
Ni 0.7500 0.7051 0.8454  2 Ni 2.57, 1 Tb 2.87
Tb 0.7500 0.3376 0.0605  7 Ni 2.85-2.95
Tb 0.2500 0.9766 0.2737  7 Ni 2.87-2.93
Tb 0.7500 0.1749 0.8930  7 Ni 2.86-2.94
Tb 0.2500 0.8251 0.1070  7 Ni 2.86-2.94
Ni 0.7500 0.0304 0.1789  2 Ni 2.57, 2 Tb 2.85-2.87
Ni 0.7500 0.8690 0.0119  2 Ni 2.56, 1 Tb 2.86
Ni 0.2500 0.4596 0.3205  2 Ni 2.58, 1 Tb 2.87
Tb 0.7500 0.0234 0.7263  7 Ni 2.87-2.93
Ni 0.2500 0.1310 0.9881  2 Ni 2.56, 1 Tb 2.86
Tb 0.2500 0.8140 0.6067  7 Ni 2.87-2.94
Ni 0.2500 0.1311 0.4877  2 Ni 2.56, 1 Tb 2.87
Tb 0.7500 0.3376 0.5603  7 Ni 2.87-2.95
Ni 0.2500 0.9696 0.8211  2 Ni 2.57, 2 Tb 2.85-2.87
Tb 0.7500 0.4991 0.2271  7 Ni 2.87-2.95

Values from the calculation:
DOS at the Fermi energy	14.732	states/eV/cell
E_tot	-5.645	eV/atom
crystal system	monoclinic
space group	P2_1/m (11)
energy relative to the elements	-439	meV per atom


This record from the Alexandria database describes a relaxed structure of Tb2Ni17. The functional is PBE-GGA.

a = 8.2995 Å, b = 8.2995 Å, c = 8.0284 Å
α = 90.00°, β = 90.00°, γ = 120.00°
Closest atoms and distances in Å follow each position.
Positions (direct):
Ni 0.1658 0.8342 0.5208  9 Ni 2.41-2.60
Tb 0.6667 0.3333 0.2500  20 Ni 2.83-3.13
Ni 0.3316 0.1658 0.0208  9 Ni 2.41-2.60
Ni 0.9563 0.6283 0.7500  8 Ni 2.36-2.52
Ni 0.6283 0.9563 0.2500  8 Ni 2.36-2.52
Ni 0.3333 0.6667 0.3979  7 Ni 2.37-2.60
Ni 0.3717 0.0437 0.7500  8 Ni 2.36-2.52
Ni 0.3333 0.6667 0.1021  7 Ni 2.37-2.60
Ni 0.6720 0.0437 0.7500  8 Ni 2.36-2.52
Ni 0.1658 0.3316 0.5208  9 Ni 2.41-2.60
Ni 0.6720 0.6283 0.7500  8 Ni 2.36-2.52
Ni 0.5000 0.0000 0.0000  10 Ni 2.38-2.53
Ni 0.0000 0.5000 0.0000  10 Ni 2.38-2.53
Ni 0.8342 0.6684 0.4792  9 Ni 2.41-2.60
Ni 0.6283 0.6720 0.2500  8 Ni 2.36-2.52
Tb 0.0000 0.0000 0.2500  18 Ni 2.92-3.23
Ni 0.3717 0.3280 0.7500  8 Ni 2.36-2.52
Ni 0.8342 0.1658 0.4792  9 Ni 2.41-2.60
Ni 0.5000 0.0000 0.5000  10 Ni 2.38-2.53
Ni 0.0437 0.6720 0.2500  8 Ni 2.36-2.52
Ni 0.8342 0.6684 0.0208  9 Ni 2.41-2.60
Ni 0.3280 0.9563 0.2500  8 Ni 2.36-2.52
Ni 0.6684 0.8342 0.9792  9 Ni 2.41-2.60
Ni 0.5000 0.5000 0.0000  10 Ni 2.38-2.53
Ni 0.6667 0.3333 0.6021  7 Ni 2.37-2.60
Ni 0.0437 0.3717 0.2500  8 Ni 2.36-2.52
Ni 0.6667 0.3333 0.8979  7 Ni 2.37-2.60
Ni 0.8342 0.1658 0.0208  9 Ni 2.41-2.60
Ni 0.0000 0.5000 0.5000  10 Ni 2.38-2.53
Ni 0.9563 0.3280 0.7500  8 Ni 2.36-2.52
Ni 0.1658 0.8342 0.9792  9 Ni 2.41-2.60
Ni 0.1658 0.3316 0.9792  9 Ni 2.41-2.60
Ni 0.3316 0.1658 0.4792  9 Ni 2.41-2.60
Ni 0.6684 0.8342 0.5208  9 Ni 2.41-2.60
Ni 0.3280 0.3717 0.2500  8 Ni 2.36-2.52
Tb 0.3333 0.6667 0.7500  20 Ni 2.83-3.13
Ni 0.5000 0.5000 0.5000  10 Ni 2.38-2.53
Tb 0.0000 0.0000 0.7500  18 Ni 2.92-3.23

Values from the calculation:
DOS at the Fermi energy	52.215	states/eV/cell
E_tot	-5.857	eV/atom
crystal system	hexagonal
space group	P6_3/mmc (194)
energy relative to the elements	-197	meV per atom


This record from the Alexandria database describes a relaxed structure of Tb5Ni2. The functional is PBE-GGA.

a = 6.3740 Å, b = 6.8654 Å, c = 8.8029 Å
α = 95.94°, β = 111.23°, γ = 90.00°
Closest atoms and distances in Å follow each position.
Positions (direct):
Tb 0.6482 0.8123 0.4320  2 Ni 2.75-2.85
Tb 0.7964 0.5773 0.8083  2 Ni 2.75-2.77
Tb 0.3518 0.1877 0.5680  2 Ni 2.75-2.85
Ni 0.4082 0.0689 0.2202  6 Tb 2.75-2.87
Tb 0.2036 0.4227 0.1917  2 Ni 2.75-2.77
Tb 0.4343 0.7500 0.0000  4 Ni 2.82-2.87
Ni 0.1880 0.4311 0.7798  6 Tb 2.75-2.87
Tb 0.2162 0.6877 0.5680  2 Ni 2.75-2.85
Tb 0.7838 0.3123 0.4320  2 Ni 2.75-2.85
Tb 0.5657 0.2500 0.0000  4 Ni 2.82-2.87
Tb 0.9881 0.9227 0.1917  2 Ni 2.75-2.77
Tb 0.0119 0.0773 0.8083  2 Ni 2.75-2.77
Ni 0.5918 0.9311 0.7798  6 Tb 2.75-2.87
Ni 0.8120 0.5689 0.2202  6 Tb 2.75-2.87

Values from the calculation:
DOS at the Fermi energy	16.082	states/eV/cell
E_tot	-5.221	eV/atom
crystal system	monoclinic
space group	C2/c (15)
energy relative to the elements	-262	meV per atom


This record from the Alexandria database describes a relaxed structure of Tb2Ni7. The functional is PBE-GGA.

a = 12.4165 Å, b = 12.4165 Å, c = 12.4165 Å
α = 22.97°, β = 22.97°, γ = 22.97°
Closest atoms and distances in Å follow each position.
Positions (direct):
Ni 0.6118 0.6118 0.6118  6 Ni 2.44-2.45
Ni 0.3902 0.8913 0.3902  7 Ni 2.43-2.52
Ni 0.0000 0.5000 0.5000  8 Ni 2.45-2.47
Tb 0.0505 0.0505 0.0505  12 Ni 2.86-3.07
Ni 0.8913 0.3902 0.3902  7 Ni 2.43-2.52
Ni 0.5000 0.5000 0.0000  8 Ni 2.45-2.47
Tb 0.8529 0.8529 0.8529  12 Ni 2.82-3.13
Ni 0.6098 0.6098 0.1087  7 Ni 2.43-2.52
Ni 0.3882 0.3882 0.3882  6 Ni 2.44-2.45
Ni 0.1087 0.6098 0.6098  7 Ni 2.43-2.52
Tb 0.1471 0.1471 0.1471  12 Ni 2.82-3.13
Tb 0.9495 0.9495 0.9495  12 Ni 2.86-3.07
Ni 0.5000 0.0000 0.5000  8 Ni 2.45-2.47
Ni 0.2783 0.2783 0.2783  6 Ni 2.43-2.45
Ni 0.5000 0.5000 0.5000  6 Ni 2.52
Ni 0.6098 0.1087 0.6098  7 Ni 2.43-2.52
Ni 0.3902 0.3902 0.8913  7 Ni 2.43-2.52
Ni 0.7217 0.7217 0.7217  6 Ni 2.43-2.45

Values from the calculation:
DOS at the Fermi energy	19.469	states/eV/cell
E_tot	-5.914	eV/atom
crystal system	trigonal
space group	R-3m (166)
energy relative to the elements	-388	meV per atom